(1)
A plane-wave DFT calculation with PBE was carried out for a geometry-optimized NaLiGePd structure.

a b c (Å): 6.3825 6.3825 6.3825
angles (deg): 90.00 90.00 90.00
Space group F-43m (No. 216)
Inequivalent atoms, fractional coordinates:
Na 0.0000 0.0000 0.0000 [4 per cell]
Li 0.2500 0.2500 0.7500 [4 per cell]
Ge 0.0000 0.0000 0.5000 [4 per cell]
Pd 0.2500 0.2500 0.2500 [4 per cell]

offset from the most stable computed form	0.263	eV per formula unit
DOS at the Fermi energy	7.1	states/eV/cell
mass density	5.339	g cm⁻³
DFT formation energy	-0.286	eV/atom
size of the total moment	0.000	μB per formula unit

(2)
A plane-wave DFT calculation with PBE was carried out for a geometry-optimized SrLi2Cl structure.

a b c (Å): 3.8121 6.7759 9.5550
angles (deg): 90.00 90.00 90.00
Space group Cmmm (No. 65)
Inequivalent atoms, fractional coordinates:
Sr 0.0000 0.0000 0.0000 [2 per cell]
Li 0.0000 0.5000 0.3365 [4 per cell]
Cl 0.0000 0.0000 0.5000 [2 per cell]

offset from the most stable computed form	0.199	eV per formula unit
DOS at the Fermi energy	5.7	states/eV/cell
mass density	1.843	g cm⁻³
raw formation energy	-0.68	eV per atom
size of the total moment	0.237	μB per formula unit

(3)
A plane-wave DFT calculation with PBE was carried out for a geometry-optimized SiH8N2F6 structure.

a b c (Å): 5.9084 5.9084 9.3709
angles (deg): 90.00 90.00 120.00
Space group P6_3mc (No. 186)
Inequivalent atoms, fractional coordinates:
Si 0.3333 0.6667 0.0000 [2 per cell]
H 0.0000 0.0000 0.4514 [2 per cell]
H 0.0950 0.1901 0.3056 [6 per cell]
H 0.1440 0.5720 0.6603 [6 per cell]
H 0.3333 0.6667 0.5138 [2 per cell]
N 0.0000 0.0000 0.3418 [2 per cell]
N 0.3333 0.6667 0.6234 [2 per cell]
F 0.0583 0.5292 0.8949 [6 per cell]
F 0.1954 0.3909 0.1068 [6 per cell]

DOS at the Fermi energy	0.0	states/eV/cell
mass density	2.089	g cm⁻³
electronic total energy	-175.672	eV for the cell shown
size of the total moment	0.000	μB per formula unit

(4)
A plane-wave DFT calculation with PBE was carried out for a geometry-optimized Ce3Rh2Au structure.

a b c (Å): 14.7595 6.7824 4.9809
angles (deg): 90.00 90.05 90.00
Space group C2/c (No. 15)
Inequivalent atoms, fractional coordinates:
Ce 0.0000 0.1261 0.2500 [4 per cell]
Ce 0.1752 0.3532 0.2498 [8 per cell]
Rh 0.1556 0.1116 0.7502 [8 per cell]
Au 0.0000 0.3838 0.7500 [4 per cell]

DOS at the Fermi energy	33.3	states/eV/cell
mass density	10.965	g cm⁻³
DFT formation energy	-0.677	eV/atom
size of the total moment	0.682	μB per formula unit

(5)
A plane-wave DFT calculation with PBE was carried out for a geometry-optimized TlRhCl2 structure.

a b c (Å): 3.3867 7.2210 8.7608
angles (deg): 90.00 90.00 90.00
Space group Imm2 (No. 44)
Inequivalent atoms, fractional coordinates:
Tl 0.0000 0.0000 0.0000 [2 per cell]
Rh 0.0000 0.5000 0.2568 [2 per cell]
Cl 0.0000 0.0000 0.5814 [2 per cell]
Cl 0.0000 0.5000 0.7321 [2 per cell]

offset from the most stable computed form	1.227	eV per formula unit
mass density	5.862	g cm⁻³
raw formation energy	-0.13	eV per atom
size of the total moment	0.069	μB per formula unit

(6)
A plane-wave DFT calculation with PBE was carried out for a geometry-optimized CoOsW2C structure.

a b c (Å): 4.1041 4.1041 3.9805
angles (deg): 90.00 90.00 90.00
Space group P4/mmm (No. 123)
Inequivalent atoms, fractional coordinates:
Co 0.0000 0.0000 0.0000 [1 per cell]
Os 0.5000 0.5000 0.0000 [1 per cell]
W 0.0000 0.5000 0.5000 [2 per cell]
C 0.5000 0.5000 0.5000 [1 per cell]

DOS at the Fermi energy	3.6	states/eV/cell
mass density	15.574	g cm⁻³
DFT formation energy	0.391	eV/atom
size of the total moment	1.072	μB per formula unit

(7)
A plane-wave DFT calculation with PBE was carried out for a geometry-optimized NaInReO2 structure.

a b c (Å): 3.8682 3.8682 6.2012
angles (deg): 90.00 90.00 90.00
Space group P4/mmm (No. 123)
Inequivalent atoms, fractional coordinates:
Na 0.0000 0.0000 0.0000 [1 per cell]
In 0.5000 0.5000 0.0000 [1 per cell]
Re 0.0000 0.0000 0.5000 [1 per cell]
O 0.0000 0.5000 0.5000 [2 per cell]

DOS at the Fermi energy	2.6	states/eV/cell
mass density	6.371	g cm⁻³
raw formation energy	-0.45	eV per atom
size of the total moment	0.000	μB per formula unit

(8)
A plane-wave DFT calculation with PBE was carried out for a geometry-optimized CrSnSe2 structure.

a b c (Å): 5.6282 9.8288 6.7144
angles (deg): 90.00 90.00 90.00
Space group Ima2 (No. 46)
Inequivalent atoms, fractional coordinates:
Cr 0.0000 0.0000 0.0000 [4 per cell]
Sn 0.2500 0.0870 0.6595 [4 per cell]
Se 0.2500 0.1281 0.2211 [4 per cell]
Se 0.2500 0.6939 0.4405 [4 per cell]

DOS at the Fermi energy	5.3	states/eV/cell
mass density	5.877	g cm⁻³
raw formation energy	-0.24	eV per atom
size of the total moment	1.861	μB per formula unit